An optimized crystal structure of Ni3AsH, computed with PBEsol.

```
Ni3AsH
1.0
3.606 0.000 0.000
0.000 3.606 0.000
0.000 0.000 3.606
Ni As H
3 1 1
Cartesian
0.000 0.000 1.803 Ni
0.000 1.803 0.000 Ni
1.803 0.000 0.000 Ni
1.803 1.803 1.803 As
0.000 0.000 0.000 H
```

Summary:
Total energy ... -27.66 eV per cell
DOS at the Fermi energy ... 5.5 states/eV/f.u.